{
  "formula": "CsV4Pb3O12",
  "functional": "GGA+U",
  "state": "relaxed",
  "dos_at_fermi_per_ev_cell": 5.6,
  "magnetic_moment_mub_per_atom": 0.15,
  "vol_a3_per_atom": 17.66,
  "dft_energy_ev_per_atom": -6.554,
  "lattice_angstrom": [[7.9506, -0.6460, -0.8974], [-2.5426, 7.5607, -0.8974], [-2.5426, -3.2510, 6.8848]],
  "species": ["Cs", "V", "V", "V", "V", "Pb", "Pb", "Pb", "O", "O", "O", "O", "O", "O", "O", "O", "O", "O", "O", "O"],
  "frac_coords": [[0.0000, 0.0000, 0.0000], [0.9197, 0.0803, 0.5000], [0.0803, 0.5000, 0.9197], [0.5000, 0.9197, 0.0803], [0.5000, 0.5000, 0.5000], [0.5536, 0.4464, 0.0000], [0.4464, 0.0000, 0.5536], [0.0000, 0.5536, 0.4464], [0.5000, 0.3697, 0.6303], [0.9524, 0.5000, 0.0476], [0.0476, 0.9524, 0.5000], [0.5000, 0.0476, 0.9524], [0.3485, 0.8579, 0.1998], [0.1998, 0.3485, 0.8579], [0.8579, 0.1998, 0.3485], [0.6515, 0.8002, 0.1421], [0.1421, 0.6515, 0.8002], [0.8002, 0.1421, 0.6515], [0.6303, 0.5000, 0.3697], [0.3697, 0.6303, 0.5000]]
}